# 1
VASP calculation (PBE) on a relaxed Rb2CaPd2 crystal.

Properties
For the formation energy, the calculation gives 0.01 eV/atom.

Unit cell a=7.5602 b=7.5602 c=5.7688 alpha=90.00 beta=90.00 gamma=90.00
With the nearest neighbours (Å) after each atom.
Fractional coordinates of all 10 atoms:
Pd: 0.1251 0.3749 0.0000  1 Pd 2.68, 2 Ca 2.99
Rb: 0.3323 0.1677 0.5000  5 Rb 3.59-3.98, 6 Pd 3.64-3.65
Rb: 0.6677 0.8323 0.5000  5 Rb 3.59-3.98, 6 Pd 3.64-3.65
Ca: 0.0000 0.0000 0.0000  4 Pd 2.99
Rb: 0.1677 0.6677 0.5000  5 Rb 3.59-3.98, 6 Pd 3.64-3.65
Rb: 0.8323 0.3323 0.5000  5 Rb 3.59-3.98, 6 Pd 3.64-3.65
Pd: 0.6251 0.1251 0.0000  1 Pd 2.68, 2 Ca 2.99
Pd: 0.8749 0.6251 0.0000  1 Pd 2.68, 2 Ca 2.99
Pd: 0.3749 0.8749 0.0000  1 Pd 2.68, 2 Ca 2.99
Ca: 0.5000 0.5000 0.0000  4 Pd 2.99

***

# 2
VASP calculation (PBE) on a relaxed RbCa2Pd crystal.

Properties
For the formation energy, the calculation gives 0.01 eV/atom. The excess energy over the best structure of this formula in the dataset comes out at 241 meV per atom.

Unit cell a=8.6962 b=8.6962 c=8.7548 alpha=60.22 beta=60.22 gamma=90.00
With the nearest neighbours (Å) after each atom.
Fractional coordinates of all 8 atoms:
Pd: 0.7500 0.2500 0.5000  4 Ca 2.67
Rb: 0.2500 0.7500 0.5000  12 Ca 5.10-5.15, 4 Pd 5.35, 4 Rb 5.35
Ca: 0.8762 0.6250 0.2500  2 Pd 2.67
Pd: 0.0000 0.0000 0.0000  4 Ca 2.67
Rb: 0.5000 0.5000 0.0000  12 Ca 5.10-5.15, 4 Rb 5.35, 4 Pd 5.35
Ca: 0.8750 0.1238 0.7500  2 Pd 2.67
Ca: 0.8738 0.1250 0.2500  2 Pd 2.67
Ca: 0.3750 0.1262 0.7500  2 Pd 2.67